a:
Computed, not measured: an optimized crystal structure of Ga2Pd6Au at the PBE level of DFT.

a b c (Å): 4.2810 5.5378 6.7297
angles (deg): 82.94 71.45 67.26
Last column: nearest neighbours and their distance in Å.
Fractional coordinates of all 9 atoms:
Au1 0.0000 0.5000 0.5000  8 Pd 2.72-2.73, 4 Ga 2.93
Pd1 0.6665 0.1671 0.5000  2 Ga 2.62, 2 Au 2.73, 4 Pd 2.74-2.90
Pd2 0.3335 0.8329 0.5000  2 Ga 2.62, 2 Au 2.73, 4 Pd 2.74-2.90
Pd3 0.3275 0.1949 0.1500  3 Ga 2.65-2.66, 1 Au 2.72, 6 Pd 2.76-2.92
Pd4 0.9775 0.1949 0.8500  3 Ga 2.65-2.66, 1 Au 2.72, 6 Pd 2.76-2.92
Pd5 0.6725 0.8051 0.8500  3 Ga 2.65-2.66, 1 Au 2.72, 6 Pd 2.76-2.92
Pd6 0.0225 0.8051 0.1500  3 Ga 2.65-2.66, 1 Au 2.72, 6 Pd 2.76-2.92
Ga1 0.3434 0.5000 0.8132  8 Pd 2.62-2.66, 2 Au 2.93
Ga2 0.6566 0.5000 0.1868  8 Pd 2.62-2.66, 2 Au 2.93

Spin magnetization (μB per cell): 0.00
DOS(E_F) (states/eV/atom): 0.46
Space group: Fmmm
V (A^3/atom): 15.5

=====

b:
Computed, not measured: an optimized crystal structure of Ga2Pd6Au at the PBE level of DFT.

a b c (Å): 5.0974 7.1911 7.9423
angles (deg): 90.00 85.22 90.00
Last column: nearest neighbours and their distance in Å.
Fractional coordinates of all 18 atoms:
Pd1 0.3324 0.6074 0.7031  2 Ga 2.49-2.52, 1 Au 2.69, 2 Pd 2.74-2.78
Pd2 0.1676 0.1074 0.7969  2 Ga 2.49-2.52, 1 Au 2.69, 2 Pd 2.74-2.78
Pd3 0.8776 0.7656 0.8772  2 Ga 2.52-2.57, 1 Pd 2.74
Pd4 0.6224 0.2656 0.6228  2 Ga 2.52-2.57, 1 Pd 2.74
Pd5 0.3776 0.7344 0.3772  2 Ga 2.52-2.57, 1 Pd 2.74
Pd6 0.1671 0.3569 0.4614  3 Ga 2.67-2.91, 7 Pd 2.71-2.97, 1 Au 2.71
Pd7 0.3329 0.8569 0.0386  3 Ga 2.67-2.91, 7 Pd 2.71-2.97, 1 Au 2.71
Pd8 0.6671 0.1431 0.9614  3 Ga 2.67-2.91, 7 Pd 2.71-2.97, 1 Au 2.71
Pd9 0.6676 0.3926 0.2969  2 Ga 2.49-2.52, 1 Au 2.69, 2 Pd 2.74-2.78
Pd10 0.8324 0.8926 0.2031  2 Ga 2.49-2.52, 1 Au 2.69, 2 Pd 2.74-2.78
Pd11 0.8329 0.6431 0.5386  3 Ga 2.67-2.91, 7 Pd 2.71-2.97, 1 Au 2.71
Pd12 0.1224 0.2344 0.1228  2 Ga 2.52-2.57, 1 Pd 2.74
Au1 0.0000 0.0000 0.5000  2 Ga 2.69, 6 Pd 2.69-2.83
Au2 0.5000 0.5000 0.0000  2 Ga 2.69, 6 Pd 2.69-2.83
Ga1 0.4411 0.0811 0.3047  6 Pd 2.49-2.75, 1 Au 2.69
Ga2 0.9411 0.4189 0.8047  6 Pd 2.49-2.75, 1 Au 2.69
Ga3 0.0589 0.5811 0.1953  6 Pd 2.49-2.75, 1 Au 2.69
Ga4 0.5589 0.9189 0.6953  6 Pd 2.49-2.75, 1 Au 2.69

Spin magnetization (μB per cell): 0.00
DOS(E_F) (states/eV/atom): 0.49
Space group: P2_1/c
V (A^3/atom): 16.1

=====

Among the structures shown above, a is the most stable, with the second-best lying 9.0 kJ/mol of atoms higher.